# 1
! LiCrCo2H GGA-PBE optimized geometry; values from VASP
! E (eV per atom): -4.16
! Total magnetization (μB per formula unit): 1.33
&SYSTEM
  ibrav = 0, nat = 5, ntyp = 4
/
ATOMIC_SPECIES
Cr 52.00 Cr.upf
Co 58.93 Co.upf
H 1.01 H.upf
Li 6.94 Li.upf
CELL_PARAMETERS angstrom
3.866 0.000 0.000
0.000 4.491 0.000
0.000 0.000 3.866
ATOMIC_POSITIONS angstrom
Cr 0.000 2.245 0.000
Co 0.000 0.000 1.933
Co 1.933 0.000 0.000
H 1.933 2.245 1.933
Li 0.000 0.000 0.000



# 2
! LiNbHg GGA-PBE optimized geometry; values from VASP
! ΔE_f (eV/f.u.): -0.036
! E (eV per atom): -4.11
! Total magnetization (μB per formula unit): 0.00
! Offset from the most stable computed form (kJ/mol of atoms): 0.1
&SYSTEM
  ibrav = 0, nat = 6, ntyp = 3
/
ATOMIC_SPECIES
Nb 92.91 Nb.upf
Hg 200.59 Hg.upf
Li 6.94 Li.upf
CELL_PARAMETERS angstrom
13.105 0.000 -0.138
0.754 2.158 -1.975
-0.754 2.158 1.975
ATOMIC_POSITIONS angstrom
Nb 5.117 2.158 0.791
Nb 7.988 2.158 -0.929
Hg 3.753 2.158 -1.983
Hg 9.352 2.158 1.845
Li 11.767 2.158 0.486
Li 1.337 2.158 -0.624



# 3
! NdY3Tm6 GGA-PBE optimized geometry; values from VASP
! ΔE_f (eV/f.u.): 3.100
! E (eV per atom): -4.79
! Total magnetization (μB per formula unit): 0.00
! Offset from the most stable computed form (kJ/mol of atoms): 16.2
&SYSTEM
  ibrav = 0, nat = 10, ntyp = 3
/
ATOMIC_SPECIES
Nd 144.24 Nd.upf
Y 88.91 Y.upf
Tm 168.93 Tm.upf
CELL_PARAMETERS angstrom
8.639 0.000 4.585
3.103 8.063 4.585
2.195 1.507 6.296
ATOMIC_POSITIONS angstrom
Nd 11.221 7.705 10.153
Y 6.442 4.423 8.726
Y 7.711 5.295 6.334
Y 2.959 2.032 4.856
Tm 10.216 5.033 8.607
Tm 5.461 7.726 7.066
Tm 6.286 2.322 5.534
Tm 3.599 4.450 7.169
Tm 8.290 1.760 8.678
Tm 7.503 7.104 10.207



# 4
! ReRu2S GGA-PBE optimized geometry; values from VASP
! Energy relative to the elements, uncorrected (eV per atom): 0.108
! E (eV per atom): -8.67
! Total magnetization (μB per formula unit): 0.00
&SYSTEM
  ibrav = 0, nat = 8, ntyp = 3
/
ATOMIC_SPECIES
Re 186.21 Re.upf
S 32.06 S.upf
Ru 101.07 Ru.upf
CELL_PARAMETERS angstrom
-2.866 -4.200 7.513
1.288 -2.412 -0.857
3.678 1.223 2.087
ATOMIC_POSITIONS angstrom
Re 3.766 -0.167 1.343
Re -0.150 -1.673 4.485
S 1.610 0.535 0.913
S 2.660 -2.159 5.285
Ru -0.047 -0.692 1.877
Ru -1.719 -3.142 6.261
Ru 1.004 -3.386 6.248
Ru 2.197 -1.637 3.119



# 5
! Mg2BeNi5Ge2 GGA-PBE optimized geometry; values from VASP
! ΔE_f (eV/f.u.): -2.092
! E (eV per atom): -4.71
! Total magnetization (μB per formula unit): 0.00
&SYSTEM
  ibrav = 0, nat = 20, ntyp = 4
/
ATOMIC_SPECIES
Mg 24.30 Mg.upf
Be 9.01 Be.upf
Ni 58.69 Ni.upf
Ge 72.64 Ge.upf
CELL_PARAMETERS angstrom
-2.287 -0.534 1.746
0.599 -9.227 -2.038
5.877 -1.235 7.321
ATOMIC_POSITIONS angstrom
Mg 1.392 -6.379 -0.127
Mg 5.083 -4.084 5.411
Mg 2.048 -1.966 2.081
Mg 4.428 -8.497 3.202
Be 0.000 0.000 0.000
Be 3.238 -5.231 2.642
Ni -0.751 -2.032 0.848
Ni 4.939 -8.964 6.181
Ni 3.675 -1.717 6.743
Ni 1.922 -7.145 2.786
Ni 0.513 -9.279 0.287
Ni 2.266 -3.852 4.243
Ni 3.209 -6.170 4.770
Ni 0.979 -4.827 2.259
Ni -0.844 -4.881 -0.146
Ni 1.795 -0.885 4.533
Ge 3.827 -2.053 4.386
Ge 2.648 -8.409 0.898
Ge 5.452 -6.946 5.018
Ge 1.024 -3.517 0.266



# 6
! TbPu6Ge6 GGA-PBE optimized geometry; values from VASP
! ΔE_f (eV/f.u.): -3.255
! E (eV per atom): -9.35
! Total magnetization (μB per formula unit): 10.35
&SYSTEM
  ibrav = 0, nat = 13, ntyp = 3
/
ATOMIC_SPECIES
Tb 158.93 Tb.upf
Pu 244.00 Pu.upf
Ge 72.64 Ge.upf
CELL_PARAMETERS angstrom
-2.471 -3.658 4.096
5.625 -0.747 -2.016
3.335 5.773 7.166
ATOMIC_POSITIONS angstrom
Tb 0.000 0.000 0.000
Pu 5.238 3.826 4.205
Pu 1.190 2.370 7.261
Pu 4.173 2.292 6.619
Pu -0.327 -0.256 4.001
Pu 3.721 1.200 0.945
Pu 2.316 -0.924 2.627
Ge 2.310 3.998 4.963
Ge 1.025 1.774 2.203
Ge 3.157 -1.634 -0.153
Ge -0.003 -2.770 2.233
Ge 4.197 1.026 3.904
Ge 2.292 0.342 5.342



# 7
! Zr2TaIr GGA-PBE optimized geometry; values from VASP
! ΔE_f (eV/f.u.): -1.104
! E (eV per atom): -9.73
! Total magnetization (μB per formula unit): 0.00
! Offset from the most stable computed form (kJ/mol of atoms): 10.7
&SYSTEM
  ibrav = 0, nat = 4, ntyp = 3
/
ATOMIC_SPECIES
Ir 192.22 Ir.upf
Ta 180.95 Ta.upf
Zr 91.22 Zr.upf
CELL_PARAMETERS angstrom
3.386 0.000 0.000
0.000 4.811 0.000
0.000 0.000 4.591
ATOMIC_POSITIONS angstrom
Ir 1.693 0.000 2.296
Ta 0.000 2.405 2.296
Zr 0.000 0.000 0.000
Zr 1.693 2.405 0.000



# 8
! Tb2PmTm3Te6 GGA-PBE optimized geometry; values from VASP
! Energy relative to the elements, uncorrected (eV per atom): -1.259
! E (eV per atom): -5.12
! Total magnetization (μB per formula unit): 0.00
&SYSTEM
  ibrav = 0, nat = 12, ntyp = 4
/
ATOMIC_SPECIES
Tb 158.93 Tb.upf
Pm 145.00 Pm.upf
Tm 168.93 Tm.upf
Te 127.60 Te.upf
CELL_PARAMETERS angstrom
4.314 0.000 0.000
0.000 8.786 0.203
-2.157 -2.648 9.172
ATOMIC_POSITIONS angstrom
Tb 2.157 4.123 6.289
Tb 0.000 2.015 3.085
Pm 2.157 0.000 0.000
Tm 2.157 4.393 0.101
Tm 2.157 -0.299 6.206
Tm 0.000 6.436 3.169
Te 0.000 6.347 6.214
Te 2.157 4.265 3.166
Te 2.157 -0.210 3.160
Te 2.157 -0.364 9.208
Te 0.000 6.502 0.167
Te 0.000 1.873 6.208



# 9
! TiSeO GGA-PBE optimized geometry; values from VASP
! Energy relative to the elements, uncorrected (eV per atom): -1.961
! E (eV per atom): -7.41
! Total magnetization (μB per formula unit): 0.00
&SYSTEM
  ibrav = 0, nat = 3, ntyp = 3
/
ATOMIC_SPECIES
O 16.00 O.upf
Se 78.96 Se.upf
Ti 47.87 Ti.upf
CELL_PARAMETERS angstrom
3.237 0.000 0.000
-1.619 2.804 0.000
0.000 0.000 6.253
ATOMIC_POSITIONS angstrom
O 0.000 1.869 3.154
Se 0.000 0.000 0.665
Ti 1.619 0.935 2.434



# 10
! ZnSiBr2 GGA-PBE optimized geometry; values from VASP
! Energy relative to the elements, uncorrected (eV per atom): 0.012
! E (eV per atom): -2.50
! Total magnetization (μB per formula unit): 0.00
! Offset from the most stable computed form (kJ/mol of atoms): 16.6
&SYSTEM
  ibrav = 0, nat = 4, ntyp = 3
/
ATOMIC_SPECIES
Br 79.90 Br.upf
Si 28.09 Si.upf
Zn 65.41 Zn.upf
CELL_PARAMETERS angstrom
-5.555 -4.242 4.431
-0.530 -5.580 6.089
2.598 7.003 -3.564
ATOMIC_POSITIONS angstrom
Br -5.396 -8.711 9.330
Br -3.731 -6.023 6.451
Si -2.999 -1.076 3.064
Zn -0.487 -1.744 3.892



# 11
! TbPtAu GGA-PBE optimized geometry; values from VASP
! ΔE_f (eV/f.u.): -2.802
! E (eV per atom): -5.58
! Total magnetization (μB per formula unit): 0.00
! Offset from the most stable computed form (kJ/mol of atoms): 0.4
&SYSTEM
  ibrav = 0, nat = 3, ntyp = 3
/
ATOMIC_SPECIES
Tb 158.93 Tb.upf
Au 196.97 Au.upf
Pt 195.08 Pt.upf
CELL_PARAMETERS angstrom
-1.249 0.454 3.450
1.973 -2.928 1.099
3.145 3.943 -1.362
ATOMIC_POSITIONS angstrom
Tb 1.138 -0.638 2.477
Au 1.987 1.533 0.517
Pt 3.561 1.232 3.108